[1]
{
  "formula": "SiPt",
  "functional": "PBE",
  "state": "optimized geometry",
  "cell": [[-1.825, 2.834, 3.064], [1.825, -2.834, 3.064], [1.825, 2.834, -3.064]],
  "species": ["Si", "Si", "Pt", "Pt"],
  "frac_coords": [[0.210, 0.000, 0.210], [0.790, 0.000, 0.790], [0.215, 0.715, 0.500], [0.612, 0.612, 0.000]],
  "dos_at_fermi_per_ev_atom": 0.17,
  "volume_a3_per_atom": 15.85,
  "raw_formation_energy_mev_per_atom": -523
}

---

[2]
{
  "formula": "SiPt",
  "functional": "PBE",
  "state": "optimized geometry",
  "cell": [[6.438, 0.000, 0.000], [0.000, 6.971, 0.000], [0.000, 0.000, 8.092]],
  "species": ["Si", "Si", "Si", "Si", "Si", "Si", "Si", "Si", "Pt", "Pt", "Pt", "Pt", "Pt", "Pt", "Pt", "Pt"],
  "frac_coords": [[0.175, 0.074, 0.286], [0.208, 0.405, 0.929], [0.292, 0.595, 0.429], [0.325, 0.926, 0.786], [0.675, 0.426, 0.714], [0.708, 0.095, 0.071], [0.792, 0.905, 0.571], [0.825, 0.574, 0.214], [0.144, 0.407, 0.229], [0.155, 0.890, 0.531], [0.345, 0.110, 0.031], [0.356, 0.593, 0.729], [0.644, 0.093, 0.771], [0.655, 0.610, 0.469], [0.845, 0.390, 0.969], [0.856, 0.907, 0.271]],
  "dos_at_fermi_per_ev_atom": 0.26,
  "volume_a3_per_atom": 22.70,
  "raw_formation_energy_mev_per_atom": -308
}

---

[3]
{
  "formula": "SiPt5",
  "functional": "PBE",
  "state": "optimized geometry",
  "cell": [[2.871, 0.000, 0.000], [0.000, 2.871, 0.000], [0.000, 0.000, 11.043]],
  "species": ["Si", "Pt", "Pt", "Pt", "Pt", "Pt"],
  "frac_coords": [[0.000, 0.000, 0.000], [0.000, 0.000, 0.325], [0.000, 0.000, 0.675], [0.500, 0.500, 0.136], [0.500, 0.500, 0.500], [0.500, 0.500, 0.864]],
  "dos_at_fermi_per_ev_atom": 1.32,
  "volume_a3_per_atom": 15.17,
  "e_above_lowest_polymorph_ev_per_fu": 0.363,
  "raw_formation_energy_mev_per_atom": -220
}

---

[4]
{
  "formula": "Si3Pt5",
  "functional": "PBE",
  "state": "optimized geometry",
  "cell": [[6.230, 0.000, 0.000], [2.609, 6.320, 0.000], [2.632, -0.257, 6.323]],
  "species": ["Si", "Si", "Si", "Si", "Si", "Si", "Pt", "Pt", "Pt", "Pt", "Pt", "Pt", "Pt", "Pt", "Pt", "Pt"],
  "frac_coords": [[0.000, 0.000, 0.000], [0.012, 0.545, 0.139], [0.299, 0.022, 0.369], [0.500, 0.352, 0.647], [0.513, 0.491, 0.191], [0.798, 0.723, 0.670], [0.078, 0.797, 0.323], [0.204, 0.390, 0.475], [0.365, 0.039, 0.707], [0.385, 0.656, 0.893], [0.403, 0.249, 0.039], [0.579, 0.674, 0.445], [0.704, 0.828, 0.038], [0.865, 0.062, 0.687], [0.885, 0.245, 0.303], [0.904, 0.393, 0.896]],
  "dos_at_fermi_per_ev_atom": 0.29,
  "volume_a3_per_atom": 15.56,
  "e_above_lowest_polymorph_ev_per_fu": 0.000,
  "raw_formation_energy_mev_per_atom": -593
}

---

[5]
{
  "formula": "SiPt",
  "functional": "PBE",
  "state": "optimized geometry",
  "cell": [[-1.873, 1.873, 4.206], [1.873, -1.873, 4.206], [1.873, 1.873, -4.206]],
  "species": ["Si", "Si", "Pt", "Pt"],
  "frac_coords": [[0.375, 0.625, 0.750], [0.625, 0.375, 0.250], [0.125, 0.875, 0.250], [0.875, 0.125, 0.750]],
  "dos_at_fermi_per_ev_atom": 0.56,
  "volume_a3_per_atom": 14.75,
  "raw_formation_energy_mev_per_atom": -203
}

---

[6]
{
  "formula": "SiPt",
  "functional": "PBE",
  "state": "optimized geometry",
  "cell": [[-1.425, 1.425, 3.944], [1.425, -1.425, 3.944], [1.425, 1.425, -3.944]],
  "species": ["Si", "Pt"],
  "frac_coords": [[0.000, 0.000, 0.000], [0.250, 0.750, 0.500]],
  "dos_at_fermi_per_ev_atom": 0.43,
  "volume_a3_per_atom": 16.01,
  "raw_formation_energy_mev_per_atom": -470
}